No. 1
A plane-wave DFT calculation with PBE was carried out for NaDyInSe3 after structural relaxation.

Geometry as POSCAR:
```
NaDyInSe3
1.0
2.114 -7.206 0.000
2.114 7.206 0.000
0.000 0.000 10.861
Na Dy In Se
2 2 2 6
direct
0.247 0.753 0.750
0.753 0.247 0.250
0.000 0.000 0.000
0.000 0.000 0.500
0.469 0.531 0.250
0.531 0.469 0.750
0.094 0.906 0.250
0.363 0.637 0.046
0.363 0.637 0.454
0.637 0.363 0.546
0.637 0.363 0.954
0.906 0.094 0.750
```

=====

No. 2
A plane-wave DFT calculation with PBE was carried out for NaDyInTe3 after structural relaxation.

Geometry as POSCAR:
```
NaDyInTe3
1.0
2.201 -7.674 0.000
2.201 7.674 0.000
0.000 0.000 11.358
Na Dy In Te
2 2 2 6
direct
0.230 0.770 0.750
0.770 0.230 0.250
0.000 0.000 0.000
0.000 0.000 0.500
0.475 0.525 0.250
0.525 0.475 0.750
0.104 0.896 0.250
0.359 0.641 0.048
0.359 0.641 0.452
0.641 0.359 0.548
0.641 0.359 0.952
0.896 0.104 0.750
```

=====

Number 1: total magnetic moment 0.003 μB/atom, calculated total energy -4.209 eV/atom. Number 2: total magnetic moment 0.003 μB/atom, calculated total energy -3.800 eV/atom.